Entry 1:
Tl2ZnAu | PBEsol | optimized geometry

## Properties
energy relative to the elements = 0.15 eV/atom

Cell lengths 4.6680, 3.5344, 5.7963 Å; angles 90.00, 113.15, 90.00 degrees
Closest atoms and distances in Å follow each position.
Sites, in units of the cell vectors:
1 Tl 0.0000 0.0000 0.0000  2 Zn 2.92, 4 Au 2.93
2 Tl 0.0000 0.5000 0.5000  2 Au 2.92, 4 Zn 2.93
3 Zn 0.5000 0.0000 0.5000  6 Tl 2.92-2.93
4 Au 0.5000 0.5000 0.0000  6 Tl 2.92-2.93

***

Entry 2:
Eu2HgGe | PBEsol | optimized geometry

## Properties
energy relative to the elements = -0.67 eV/atom

Cell lengths 5.2718, 5.2718, 5.2718 Å; angles 60.00, 60.00, 60.00 degrees
Closest atoms and distances in Å follow each position.
Sites, in units of the cell vectors:
1 Eu 0.2500 0.2500 0.2500  4 Ge 3.23, 4 Hg 3.23
2 Eu 0.7500 0.7500 0.7500  4 Ge 3.23, 4 Hg 3.23
3 Hg 0.0000 0.0000 0.0000  8 Eu 3.23
4 Ge 0.5000 0.5000 0.5000  8 Eu 3.23

***

Entry 3:
HoSi | PBEsol | optimized geometry

## Properties
formation energy from raw total energies = -0.8958 eV/atom

Cell lengths 5.6003, 5.6003, 3.7757 Å; angles 90.00, 90.00, 135.91 degrees
Closest atoms and distances in Å follow each position.
Sites, in units of the cell vectors:
1 Ho 0.1406 0.8594 0.7500  7 Si 2.90-3.08
2 Ho 0.8594 0.1406 0.2500  7 Si 2.90-3.08
3 Si 0.4231 0.5769 0.7500  2 Si 2.47
4 Si 0.5769 0.4231 0.2500  2 Si 2.47

***

Entry 4:
SmGeRu | PBEsol | optimized geometry

## Properties
energy relative to the elements = -0.69 eV/atom

Cell lengths 4.2322, 4.2322, 6.6874 Å; angles 90.00, 90.00, 90.00 degrees
Closest atoms and distances in Å follow each position.
Sites, in units of the cell vectors:
1 Sm 0.2500 0.2500 0.1857  4 Ru 2.98, 5 Ge 3.09-3.25
2 Sm 0.7500 0.7500 0.8143  4 Ru 2.98, 5 Ge 3.09-3.25
3 Ge 0.2500 0.2500 0.6992  4 Ru 2.50
4 Ge 0.7500 0.7500 0.3008  4 Ru 2.50
5 Ru 0.2500 0.7500 0.5000  4 Ge 2.50
6 Ru 0.7500 0.2500 0.5000  4 Ge 2.50

***

Entry 5:
TcAs2SeBr | PBEsol | optimized geometry

## Properties
formation energy from raw total energies = 0.4787 eV/atom
polymorph energy (0 for the lowest one) = 0 meV/atom

Cell lengths 4.7610, 4.7610, 4.8626 Å; angles 90.00, 90.00, 90.00 degrees
Closest atoms and distances in Å follow each position.
Sites, in units of the cell vectors:
1 Tc 0.0000 0.0000 0.0000  4 As 2.38, 2 Br 2.43
2 As 0.0000 0.5000 0.0000  2 Tc 2.38
3 As 0.5000 0.0000 0.0000  2 Tc 2.38
4 Se 0.5000 0.5000 0.5000  4 Br 3.37, 8 As 3.40
5 Br 0.0000 0.0000 0.5000  2 Tc 2.43

***

Entry 6:
MgTiBe3 | PBEsol | optimized geometry

## Properties
energy relative to the elements = 1.36 eV/atom
polymorph energy (0 for the lowest one) = 152 meV/atom

Cell lengths 4.4513, 4.4513, 4.4513 Å; angles 90.00, 90.00, 90.00 degrees
Closest atoms and distances in Å follow each position.
Sites, in units of the cell vectors:
1 Mg 0.0000 0.0000 0.0000  12 Be 3.15
2 Ti 0.5000 0.5000 0.5000  6 Be 2.23
3 Be 0.0000 0.5000 0.5000  2 Ti 2.23
4 Be 0.5000 0.0000 0.5000  2 Ti 2.23
5 Be 0.5000 0.5000 0.0000  2 Ti 2.23

***

Entry 7:
InNiAu | PBEsol | optimized geometry

## Properties
energy relative to the elements = 0.01 eV/atom

Cell lengths 4.3380, 4.3380, 2.9471 Å; angles 90.00, 90.00, 120.00 degrees
Closest atoms and distances in Å follow each position.
Sites, in units of the cell vectors:
1 In 0.0000 0.0000 0.0000  3 Ni 2.63, 3 Au 2.77
2 Ni 0.6667 0.3333 0.2678  3 In 2.63, 3 Au 2.69
3 Au 0.3333 0.6667 0.5987  3 Ni 2.69, 3 In 2.77, 2 Au 2.95

***

Entry 8:
CuPd2RhPb | PBEsol | optimized geometry

## Properties
energy relative to the elements = 0.63 eV/atom

Cell lengths 4.5334, 4.5334, 4.4921 Å; angles 90.00, 90.00, 90.00 degrees
Closest atoms and distances in Å follow each position.
Sites, in units of the cell vectors:
1 Cu 0.0000 0.0000 0.0000  2 Rh 2.25, 4 Pd 2.27
2 Pd 0.0000 0.5000 0.0000  2 Cu 2.27
3 Pd 0.5000 0.0000 0.0000  2 Cu 2.27
4 Rh 0.0000 0.0000 0.5000  2 Cu 2.25
5 Pb 0.5000 0.5000 0.5000  8 Pd 3.19, 4 Rh 3.21

***

Entry 9:
CaTa2Pb | PBEsol | optimized geometry

## Properties
energy relative to the elements = 0.52 eV/atom

Cell lengths 4.1500, 4.1500, 4.8976 Å; angles 90.00, 90.00, 90.00 degrees
Closest atoms and distances in Å follow each position.
Sites, in units of the cell vectors:
1 Ca 0.0000 0.0000 0.0000  4 Pb 2.93, 8 Ta 3.21
2 Ta 0.0000 0.5000 0.5000  4 Ta 2.93, 4 Pb 3.21, 4 Ca 3.21
3 Ta 0.5000 0.0000 0.5000  4 Ta 2.93, 4 Pb 3.21, 4 Ca 3.21
4 Pb 0.5000 0.5000 0.0000  4 Ca 2.93, 8 Ta 3.21

***

Entry 10:
GaNCl3 | PBEsol | optimized geometry

## Properties
formation energy from raw total energies = 0.4407 eV/atom

Cell lengths 4.7418, 4.7418, 4.7418 Å; angles 90.00, 90.00, 90.00 degrees
Closest atoms and distances in Å follow each position.
Sites, in units of the cell vectors:
1 Ga 0.0000 0.0000 0.0000  6 Cl 2.37
2 N 0.5000 0.5000 0.5000  12 Cl 3.35
3 Cl 0.0000 0.0000 0.5000  2 Ga 2.37
4 Cl 0.0000 0.5000 0.0000  2 Ga 2.37
5 Cl 0.5000 0.0000 0.0000  2 Ga 2.37

***

Entry 11:
YReSb2I | PBEsol | optimized geometry

## Properties
formation energy from raw total energies = 0.4531 eV/atom

Cell lengths 5.0629, 5.0629, 5.6123 Å; angles 90.00, 90.00, 90.00 degrees
Closest atoms and distances in Å follow each position.
Sites, in units of the cell vectors:
1 Y 0.0000 0.0000 0.0000  4 I 3.58, 8 Sb 3.78
2 Re 0.5000 0.5000 0.5000  4 Sb 2.53, 2 I 2.81
3 Sb 0.0000 0.5000 0.5000  2 Re 2.53
4 Sb 0.5000 0.0000 0.5000  2 Re 2.53
5 I 0.5000 0.5000 0.0000  2 Re 2.81

***

Entry 12:
MgCo2Ir | PBEsol | optimized geometry

## Properties
energy relative to the elements = 0.12 eV/atom

Cell lengths 4.1600, 4.1600, 4.1600 Å; angles 60.00, 60.00, 60.00 degrees
Closest atoms and distances in Å follow each position.
Sites, in units of the cell vectors:
1 Mg 0.0000 0.0000 0.0000  4 Co 2.55, 4 Ir 2.55
2 Co 0.5000 0.5000 0.5000  4 Co 2.55, 4 Ir 2.55
3 Co 0.7500 0.7500 0.7500  4 Co 2.55, 4 Mg 2.55
4 Ir 0.2500 0.2500 0.2500  4 Co 2.55, 4 Mg 2.55

***

Entry 13:
LuSnPd | PBEsol | optimized geometry

## Properties
energy relative to the elements = -0.96 eV/atom

Cell lengths 7.4454, 7.4454, 3.7825 Å; angles 90.00, 90.00, 120.00 degrees
Closest atoms and distances in Å follow each position.
Sites, in units of the cell vectors:
1 Lu 0.0000 0.4025 0.0000  5 Pd 2.95-3.00, 6 Sn 3.12-3.24
2 Lu 0.4025 0.0000 0.0000  5 Pd 2.95-3.00, 6 Sn 3.12-3.24
3 Lu 0.5975 0.5975 0.0000  5 Pd 2.95-3.00, 6 Sn 3.12-3.24
4 Sn 0.0000 0.7359 0.5000  4 Pd 2.73-2.78
5 Sn 0.2641 0.2641 0.5000  4 Pd 2.73-2.78
6 Sn 0.7359 0.0000 0.5000  4 Pd 2.73-2.78
7 Pd 0.0000 0.0000 0.0000  6 Sn 2.73, 3 Lu 3.00
8 Pd 0.3333 0.6667 0.5000  3 Sn 2.78, 6 Lu 2.95
9 Pd 0.6667 0.3333 0.5000  3 Sn 2.78, 6 Lu 2.95

***

Entry 14:
Tc2NiRu | PBEsol | optimized geometry

## Properties
energy relative to the elements = 0.03 eV/atom
polymorph energy (0 for the lowest one) = 87 meV/atom

Cell lengths 2.6427, 3.7628, 5.1990 Å; angles 90.00, 90.00, 90.00 degrees
Closest atoms and distances in Å follow each position.
Sites, in units of the cell vectors:
1 Tc 0.0000 0.0000 0.2412  4 Tc 2.51-2.69, 4 Ni 2.62, 4 Ru 2.66
2 Tc 0.0000 0.0000 0.7588  4 Tc 2.51-2.69, 4 Ni 2.62, 4 Ru 2.66
3 Ni 0.5000 0.5000 0.0000  2 Ru 2.60, 8 Tc 2.62, 2 Ni 2.64
4 Ru 0.5000 0.5000 0.5000  2 Ni 2.60, 2 Ru 2.64, 8 Tc 2.66